# 1
CaNdBiPd | PBE | optimized geometry

Output
**Energy of formation**: -0.710 eV/atom
**Calculated total energy**: -4.67 eV per atom

Cell lengths 5.3405, 5.3405, 5.3405 Å; angles 60.00, 60.00, 60.00 degrees
With the nearest neighbours (Å) after each atom.
Fractional positions:
1 Ca 0.0000 0.0000 0.0000  4 Pd 3.27, 4 Bi 3.27
2 Nd 0.5000 0.5000 0.5000  4 Pd 3.27, 4 Bi 3.27
3 Bi 0.2500 0.2500 0.2500  4 Ca 3.27, 4 Nd 3.27
4 Pd 0.7500 0.7500 0.7500  4 Nd 3.27, 4 Ca 3.27

# 2
Sr8P2Pt | PBE | optimized geometry

Output
**Energy of formation**: -0.602 eV/atom
**Calculated total energy**: -3.36 eV per atom

Cell lengths 8.0650, 8.0650, 7.5139 Å; angles 104.09, 104.09, 71.26 degrees
With the nearest neighbours (Å) after each atom.
Fractional positions:
1 Sr 0.0713 0.0713 0.2581  2 P 3.02-3.27
2 Sr 0.1413 0.5573 0.2535  1 Pt 2.99, 2 P 3.15-3.23
3 Sr 0.3631 0.3631 0.7558  1 Pt 3.00, 1 P 3.17
4 Sr 0.4427 0.8587 0.7465  1 Pt 2.99, 2 P 3.15-3.23
5 Sr 0.5573 0.1413 0.2535  1 Pt 2.99, 2 P 3.15-3.23
6 Sr 0.6369 0.6369 0.2442  1 Pt 3.00, 1 P 3.17
7 Sr 0.8587 0.4427 0.7465  1 Pt 2.99, 2 P 3.15-3.23
8 Sr 0.9287 0.9287 0.7419  2 P 3.02-3.27
9 P 0.1850 0.1850 0.9627  7 Sr 3.02-3.27
10 P 0.8150 0.8150 0.0373  7 Sr 3.02-3.27
11 Pt 0.5000 0.5000 0.5000  6 Sr 2.99-3.00